No. 1
Here is a relaxed EuBi4Pb crystal from the Alexandria database. Energies are from PBE.

Cell lengths 6.615, 6.615, 6.615 Å; angles 60.00, 60.00, 60.00 degrees
Fractional coordinates of all 6 atoms:
Eu (0.000, 0.000, 0.000)
Bi (0.127, 0.624, 0.624)
Bi (0.624, 0.127, 0.624)
Bi (0.624, 0.624, 0.127)
Bi (0.624, 0.624, 0.624)
Pb (0.250, 0.250, 0.250)

Computed properties:
- Total energy: -5.040 eV/atom
- ΔE_f: -0.122 eV/atom

No. 2
Here is a relaxed LiB3Se crystal from the Alexandria database. Energies are from PBE.

Cell lengths 3.957, 3.957, 3.957 Å; angles 90.00, 90.00, 90.00 degrees
Fractional coordinates of all 5 atoms:
Li (0.000, 0.000, 0.000)
B (0.000, 0.000, 0.500)
B (0.000, 0.500, 0.000)
B (0.500, 0.000, 0.000)
Se (0.500, 0.500, 0.500)

Computed properties:
- Total energy: -3.013 eV/atom
- Excess energy over the best structure of this formula in the dataset: 211.0 meV/atom

No. 3
Here is a relaxed NdGdAgPb crystal from the Alexandria database. Energies are from PBE.

Cell lengths 5.394, 5.394, 5.394 Å; angles 60.00, 60.00, 60.00 degrees
Fractional coordinates of all 4 atoms:
Nd (0.000, 0.000, 0.000)
Gd (0.500, 0.500, 0.500)
Ag (0.750, 0.750, 0.750)
Pb (0.250, 0.250, 0.250)

Computed properties:
- Total energy: -6.781 eV/atom
- ΔE_f: -0.429 eV/atom

No. 4
Here is a relaxed TaZn5Rh6 crystal from the Alexandria database. Energies are from PBE.

Cell lengths 6.795, 6.795, 6.109 Å; angles 90.00, 90.00, 142.93 degrees
Fractional coordinates of all 12 atoms:
Ta (0.000, 0.000, 0.000)
Zn (0.000, 0.000, 0.500)
Zn (0.332, 0.668, 0.000)
Zn (0.334, 0.666, 0.500)
Zn (0.666, 0.334, 0.500)
Zn (0.668, 0.332, 0.000)
Rh (0.166, 0.834, 0.251)
Rh (0.166, 0.834, 0.749)
Rh (0.500, 0.500, 0.251)
Rh (0.500, 0.500, 0.749)
Rh (0.834, 0.166, 0.251)
Rh (0.834, 0.166, 0.749)

Computed properties:
- Total energy: -5.714 eV/atom
- ΔE_f: -0.520 eV/atom

No. 5
Here is a relaxed KLaCl2 crystal from the Alexandria database. Energies are from PBE.

Cell lengths 5.720, 5.720, 3.709 Å; angles 90.00, 90.00, 90.00 degrees
Fractional coordinates of all 4 atoms:
K (0.000, 0.000, 0.000)
La (0.500, 0.500, 0.500)
Cl (0.000, 0.500, 0.500)
Cl (0.500, 0.000, 0.500)

Computed properties:
- Total energy: -3.957 eV/atom
- Excess energy over the best structure of this formula in the dataset: 140.6 meV/atom

No. 6
Here is a relaxed Li3Ca2Au crystal from the Alexandria database. Energies are from PBE.

Cell lengths 5.719, 5.719, 5.927 Å; angles 117.91, 117.91, 59.25 degrees
Fractional coordinates of all 6 atoms:
Li (0.000, 0.000, 0.000)
Li (0.000, 0.500, 0.000)
Li (0.500, 0.000, 0.000)
Ca (0.374, 0.374, 0.620)
Ca (0.626, 0.626, 0.380)
Au (0.000, 0.000, 0.500)

Computed properties:
- Total energy: -2.432 eV/atom
- ΔE_f: -0.262 eV/atom

No. 7
Here is a relaxed TbSmTm2Tl4 crystal from the Alexandria database. Energies are from PBE.

Cell lengths 9.319, 9.319, 9.319 Å; angles 33.46, 33.46, 33.46 degrees
Fractional coordinates of all 8 atoms:
Tb (0.000, 0.000, 0.000)
Sm (0.500, 0.500, 0.500)
Tm (0.250, 0.250, 0.250)
Tm (0.750, 0.750, 0.750)
Tl (0.124, 0.124, 0.124)
Tl (0.374, 0.374, 0.374)
Tl (0.626, 0.626, 0.626)
Tl (0.876, 0.876, 0.876)

Computed properties:
- Total energy: -3.797 eV/atom
- ΔE_f: -0.327 eV/atom

No. 8
Here is a relaxed PuNpAg4 crystal from the Alexandria database. Energies are from PBE.

Cell lengths 5.689, 5.689, 5.689 Å; angles 60.00, 60.00, 60.00 degrees
Fractional coordinates of all 6 atoms:
Pu (0.000, 0.000, 0.000)
Np (0.250, 0.250, 0.250)
Ag (0.125, 0.625, 0.625)
Ag (0.625, 0.125, 0.625)
Ag (0.625, 0.625, 0.125)
Ag (0.625, 0.625, 0.625)

Computed properties:
- Total energy: -6.244 eV/atom
- ΔE_f: 0.202 eV/atom